Entry 1:
Below is a geometry-optimized CaCdWCl2 structure, with properties calculated at the PBE-GGA level.

Unit cell a=5.0645 b=5.0645 c=6.9858 alpha=90.00 beta=90.00 gamma=90.00
Space group P4/mmm (No. 123)
One atom of each set of equivalent atoms:
Ca 0.0000 0.0000 0.0000
Cd 0.5000 0.5000 0.5000
W 0.0000 0.0000 0.5000
Cl 0.0000 0.5000 0.0000

Results
DFT total energy (eV per formula unit): -18.138
Offset from the most stable computed form (eV per atom): 0.1222
Volume (A^3/atom): 35.84

=====

Entry 2:
Below is a geometry-optimized CaCdWCl2 structure, with properties calculated at the PBE-GGA level.

Unit cell a=4.6895 b=4.6895 c=6.2851 alpha=90.00 beta=90.00 gamma=90.00
Space group P4/mmm (No. 123)
One atom of each set of equivalent atoms:
Ca 0.0000 0.0000 0.0000
Cd 0.5000 0.5000 0.0000
W 0.0000 0.0000 0.5000
Cl 0.0000 0.5000 0.5000

Results
DFT total energy (eV per formula unit): -18.749
Offset from the most stable computed form (eV per atom): 0.0000
Volume (A^3/atom): 27.64

=====

Entry 3:
Below is a geometry-optimized CaZnCdCl6 structure, with properties calculated at the PBE-GGA level.

Unit cell a=6.5608 b=6.5608 c=12.0888 alpha=90.00 beta=90.00 gamma=120.00
Space group P-31c (No. 163)
One atom of each set of equivalent atoms:
Ca 0.0000 0.0000 0.0000
Zn 0.3333 0.6667 0.2500
Cd 0.3333 0.6667 0.7500
Cl 0.0189 0.3596 0.1310

Results
DFT total energy (eV per formula unit): -28.666
Volume (A^3/atom): 25.04

=====

Entry 4:
Below is a geometry-optimized CaCd2Co structure, with properties calculated at the PBE-GGA level.

Unit cell a=3.4389 b=3.4389 c=7.0809 alpha=90.00 beta=90.00 gamma=90.00
Space group P4/mmm (No. 123)
One atom of each set of equivalent atoms:
Ca 0.0000 0.0000 0.0000
Cd 0.5000 0.5000 0.3006
Co 0.0000 0.0000 0.5000

Results
Energy of formation from the pure elements (meV per atom): 85
DFT total energy (eV per formula unit): -10.599
Volume (A^3/atom): 20.93

=====

Entry 5:
Below is a geometry-optimized Ca2Cd2Co structure, with properties calculated at the PBE-GGA level.

Unit cell a=7.1925 b=7.1925 c=4.9070 alpha=90.00 beta=90.00 gamma=90.00
Space group P4/mbm (No. 127)
One atom of each set of equivalent atoms:
Ca 0.1763 0.3237 0.0000
Cd 0.1429 0.6429 0.5000
Co 0.0000 0.0000 0.5000

Results
Energy of formation from the pure elements (meV per atom): 89
DFT total energy (eV per formula unit): -12.495
Offset from the most stable computed form (eV per atom): 0.0000
Volume (A^3/atom): 25.39

=====

Entry 6:
Below is a geometry-optimized Ca2Cd2Co structure, with properties calculated at the PBE-GGA level.

Unit cell a=3.9179 b=3.9179 c=17.9109 alpha=90.00 beta=90.00 gamma=90.00
Space group I4/mmm (No. 139)
One atom of each set of equivalent atoms:
Ca 0.0000 0.0000 0.0902
Cd 0.0000 0.5000 0.2500
Co 0.0000 0.0000 0.5000

Results
Energy of formation from the pure elements (meV per atom): 260
DFT total energy (eV per formula unit): -11.639
Offset from the most stable computed form (eV per atom): 0.1713
Volume (A^3/atom): 27.49

=====

Entry 7:
Below is a geometry-optimized Ca3CdCo structure, with properties calculated at the PBE-GGA level.

Unit cell a=5.3337 b=5.3337 c=5.3337 alpha=90.00 beta=90.00 gamma=90.00
Space group Pm-3m (No. 221)
One atom of each set of equivalent atoms:
Ca 0.0000 0.0000 0.5000
Cd 0.5000 0.5000 0.5000
Co 0.0000 0.0000 0.0000

Results
Energy of formation from the pure elements (meV per atom): 88
DFT total energy (eV per formula unit): -13.584
Offset from the most stable computed form (eV per atom): 0.0000
Volume (A^3/atom): 30.35

=====

Entry 8:
Below is a geometry-optimized CaCd2Co structure, with properties calculated at the PBE-GGA level.

Unit cell a=4.8979 b=4.9024 c=6.9434 alpha=90.00 beta=90.00 gamma=90.00
Space group Imm2 (No. 44)
One atom of each set of equivalent atoms:
Ca 0.0000 0.0000 0.0000
Cd 0.0000 0.0000 0.5003
Cd 0.0000 0.5000 0.7506
Co 0.0000 0.5000 0.2491

Results
Energy of formation from the pure elements (meV per atom): 157
DFT total energy (eV per formula unit): -10.310
Volume (A^3/atom): 20.84

=====

Entry 9:
Below is a geometry-optimized CaCd4Co structure, with properties calculated at the PBE-GGA level.

Unit cell a=8.0776 b=8.0776 c=8.0776 alpha=90.00 beta=90.00 gamma=90.00
Space group F-43m (No. 216)
One atom of each set of equivalent atoms:
Ca 0.0000 0.0000 0.0000
Cd 0.1242 0.1242 0.6242
Co 0.2500 0.2500 0.2500

Results
Energy of formation from the pure elements (meV per atom): 160
DFT total energy (eV per formula unit): -11.805
Volume (A^3/atom): 21.96

=====

Entry 10:
Below is a geometry-optimized CaCd2Co structure, with properties calculated at the PBE-GGA level.

Unit cell a=4.0748 b=3.9015 c=11.2387 alpha=90.00 beta=90.00 gamma=90.00
Space group Amm2 (No. 38)
One atom of each set of equivalent atoms:
Ca 0.0000 0.0000 0.0000
Cd 0.0000 0.0000 0.2789
Cd 0.5000 0.0000 0.6716
Co 0.5000 0.0000 0.4245

Results
Energy of formation from the pure elements (meV per atom): 159
DFT total energy (eV per formula unit): -10.303
Volume (A^3/atom): 22.33

=====

Entry 11:
Below is a geometry-optimized CaCd3Co structure, with properties calculated at the PBE-GGA level.

Unit cell a=5.9329 b=5.9329 c=5.9329 alpha=90.00 beta=90.00 gamma=90.00
Space group Pm-3m (No. 221)
One atom of each set of equivalent atoms:
Ca 0.0000 0.0000 0.0000
Cd 0.0000 0.0000 0.5000
Co 0.5000 0.5000 0.5000

Results
Energy of formation from the pure elements (meV per atom): 1205
DFT total energy (eV per formula unit): -5.829
Offset from the most stable computed form (eV per atom): 1.1438
Volume (A^3/atom): 41.77

=====

Entry 12:
Below is a geometry-optimized CaCd2Co structure, with properties calculated at the PBE-GGA level.

Unit cell a=4.2773 b=4.2773 c=20.4436 alpha=90.00 beta=90.00 gamma=90.00
Space group I-42d (No. 122)
One atom of each set of equivalent atoms:
Ca 0.0000 0.0000 0.0000
Cd 0.2098 0.2500 0.6250
Co 0.0000 0.0000 0.5000

Results
Energy of formation from the pure elements (meV per atom): 344
DFT total energy (eV per formula unit): -9.563
Volume (A^3/atom): 23.38

=====

Entry 13:
Below is a geometry-optimized CaCd3Co structure, with properties calculated at the PBE-GGA level.

Unit cell a=4.9765 b=4.9765 c=4.9765 alpha=90.00 beta=90.00 gamma=90.00
Space group Pm-3m (No. 221)
One atom of each set of equivalent atoms:
Ca 0.0000 0.0000 0.0000
Cd 0.0000 0.5000 0.5000
Co 0.5000 0.5000 0.5000

Results
Energy of formation from the pure elements (meV per atom): 61
DFT total energy (eV per formula unit): -11.548
Offset from the most stable computed form (eV per atom): 0.0000
Volume (A^3/atom): 24.65

=====

Entry 14:
Below is a geometry-optimized Ca2CdCo2 structure, with properties calculated at the PBE-GGA level.

Unit cell a=5.5538 b=5.5538 c=7.5371 alpha=90.00 beta=90.00 gamma=90.00
Space group I4/mmm (No. 139)
One atom of each set of equivalent atoms:
Ca 0.0000 0.5000 0.2500
Cd 0.0000 0.0000 0.0000
Co 0.0000 0.0000 0.3548

Results
Energy of formation from the pure elements (meV per atom): 333
DFT total energy (eV per formula unit): -17.463
Volume (A^3/atom): 23.25

=====

Entry 15:
Below is a geometry-optimized CaCd2Co structure, with properties calculated at the PBE-GGA level.

Unit cell a=5.7842 b=10.0403 c=3.1020 alpha=90.00 beta=109.48 gamma=90.00
Space group C2/m (No. 12)
One atom of each set of equivalent atoms:
Ca 0.0000 0.0000 0.0000
Cd 0.2500 0.2500 0.5000
Co 0.0000 0.5000 0.0000

Results
Energy of formation from the pure elements (meV per atom): 298
DFT total energy (eV per formula unit): -9.744
Volume (A^3/atom): 21.23

=====

Entry 16:
Below is a geometry-optimized CaCd2Co structure, with properties calculated at the PBE-GGA level.

Unit cell a=4.3132 b=4.3132 c=4.5553 alpha=90.00 beta=90.00 gamma=90.00
Space group P4/mmm (No. 123)
One atom of each set of equivalent atoms:
Ca 0.0000 0.0000 0.0000
Cd 0.0000 0.5000 0.5000
Co 0.5000 0.5000 0.0000

Results
Energy of formation from the pure elements (meV per atom): 168
DFT total energy (eV per formula unit): -10.265
Volume (A^3/atom): 21.19

=====

Entry 17:
Below is a geometry-optimized CaCd2Co structure, with properties calculated at the PBE-GGA level.

Unit cell a=6.1097 b=6.1252 c=8.7527 alpha=90.00 beta=90.00 gamma=90.00
Space group Fmmm (No. 69)
One atom of each set of equivalent atoms:
Ca 0.0000 0.0000 0.0000
Cd 0.2500 0.2500 0.2500
Co 0.0000 0.0000 0.5000

Results
Energy of formation from the pure elements (meV per atom): 120
DFT total energy (eV per formula unit): -10.458
Volume (A^3/atom): 20.47

=====

Entry 18:
Below is a geometry-optimized CaCd2Co2 structure, with properties calculated at the PBE-GGA level.

Unit cell a=4.3156 b=4.3156 c=10.7559 alpha=90.00 beta=90.00 gamma=90.00
Space group I4/mmm (No. 139)
One atom of each set of equivalent atoms:
Ca 0.0000 0.0000 0.0000
Cd 0.0000 0.5000 0.2500
Co 0.0000 0.0000 0.4016

Results
Energy of formation from the pure elements (meV per atom): 179
DFT total energy (eV per formula unit): -17.146
Offset from the most stable computed form (eV per atom): 0.0152
Volume (A^3/atom): 20.03

=====

Entry 19:
Below is a geometry-optimized CaCd2Co2 structure, with properties calculated at the PBE-GGA level.

Unit cell a=7.6385 b=7.6385 c=3.1645 alpha=90.00 beta=90.00 gamma=90.00
Space group P4/mbm (No. 127)
One atom of each set of equivalent atoms:
Ca 0.0000 0.0000 0.0000
Cd 0.1802 0.3198 0.5000
Co 0.1065 0.6065 0.0000

Results
Energy of formation from the pure elements (meV per atom): 211
DFT total energy (eV per formula unit): -16.987
Offset from the most stable computed form (eV per atom): 0.0470
Volume (A^3/atom): 18.46